No. 1
DFT (PBE) results for a relaxed structure of Li2AgW.

Unit cell a=6.2809 b=6.2809 c=6.2809 alpha=90.00 beta=90.00 gamma=90.00
With the nearest neighbours (Å) after each atom.
Space group F-43m (No. 216)
Unique sites:
Li 0.0000 0.0000 0.0000  4 Li 2.72, 4 Ag 2.72
Li 0.2500 0.2500 0.2500  4 W 2.72, 4 Li 2.72
Ag 0.2500 0.2500 0.7500  4 W 2.72, 4 Li 2.72
W 0.0000 0.0000 0.5000  4 Li 2.72, 4 Ag 2.72

Calculated values
* D(E_F): 0.96 states/eV per atom


No. 2
DFT (PBE) results for a relaxed structure of LiAgW2.

Unit cell a=2.9628 b=4.4495 c=9.9440 alpha=90.00 beta=90.00 gamma=90.00
With the nearest neighbours (Å) after each atom.
Space group Cmmm (No. 65)
Unique sites:
Li 0.0000 0.0000 0.0000  6 Li 2.67-2.96, 4 W 2.87
Ag 0.0000 0.0000 0.5000  6 Ag 2.67-2.96, 4 W 2.92
W 0.0000 0.5000 0.2469  6 W 2.67-2.96, 2 Li 2.87, 2 Ag 2.92

Calculated values
* D(E_F): 0.60 states/eV per atom


No. 3
DFT (PBE) results for a relaxed structure of LiAgW2.

Unit cell a=3.2541 b=3.2541 c=6.1243 alpha=90.00 beta=90.00 gamma=90.00
With the nearest neighbours (Å) after each atom.
Space group P4mm (No. 99)
Unique sites:
Li 0.0000 0.0000 0.0000  4 Ag 2.64, 5 W 2.84-2.88
Ag 0.5000 0.5000 0.7873  4 Li 2.64
W 0.0000 0.0000 0.4703  4 W 2.60, 1 Li 2.88
W 0.5000 0.5000 0.2710  4 W 2.60, 4 Li 2.84

Calculated values
* D(E_F): 0.86 states/eV per atom


No. 4
DFT (PBE) results for a relaxed structure of LiYAg.

Unit cell a=3.3967 b=3.3967 c=7.1201 alpha=90.00 beta=90.00 gamma=120.00
With the nearest neighbours (Å) after each atom.
Space group P3m1 (No. 156)
Unique sites:
Li 0.0000 0.0000 0.0000  3 Ag 2.78
Y 0.3333 0.6667 0.3888  3 Ag 3.09, 3 Li 3.39, 6 Y 3.40
Ag 0.6667 0.3333 0.7234  3 Li 2.78, 3 Y 3.09

Calculated values
* D(E_F): 0.72 states/eV per atom


No. 5
DFT (PBE) results for a relaxed structure of LiYAg.

Unit cell a=8.0717 b=8.0717 c=4.2014 alpha=90.00 beta=90.00 gamma=90.00
With the nearest neighbours (Å) after each atom.
Space group P4_2/m (No. 84)
Unique sites:
Li 0.0918 0.8493 0.0000  3 Ag 2.61-2.66, 5 Li 2.85-2.91
Y 0.2347 0.4259 0.0000  5 Ag 3.04-3.28
Ag 0.0651 0.6584 0.5000  3 Li 2.61-2.66, 1 Ag 2.76

Calculated values
* D(E_F): 0.90 states/eV per atom


No. 6
DFT (PBE) results for a relaxed structure of LiYAg.

Unit cell a=22.0141 b=4.1104 c=6.0165 alpha=90.00 beta=90.17 gamma=90.00
With the nearest neighbours (Å) after each atom.
Space group C2/m (No. 12)
Unique sites:
Li 0.1874 0.0000 0.2504  4 Ag 2.63, 2 Li 2.77
Li 0.2282 0.0000 0.7505  6 Ag 2.76-2.81, 2 Li 2.77
Y 0.0489 0.5000 0.2500  2 Ag 3.09
Y 0.0820 0.0000 0.7499  4 Ag 3.14-3.15, 1 Li 3.22
Ag 0.1692 0.5000 0.9849  5 Li 2.63-2.81, 1 Ag 2.83
Ag 0.1695 0.5000 0.5153  5 Li 2.63-2.81, 1 Ag 2.83

Calculated values
* D(E_F): 0.84 states/eV per atom


no.,V (Å³ per cell),E (eV for the cell shown),distance to the lowest polymorph of the same formula (meV/atom)
1,247.8,-65.528,597
2,131.1,-56.551,333
3,64.9,-28.829,194
4,71.1,-11.104,200
5,273.7,-46.504,26
6,544.4,-92.746,37